[1]
Compound: TiSbSBr2
Source: the Alexandria database
Functional: PBE-GGA
Structure: optimized geometry

Unit cell a=5.2701 b=5.2701 c=4.6852 alpha=90.00 beta=90.00 gamma=90.00
Closest atoms and distances in Å follow each position.
Fractional coordinates of all 5 atoms:
Ti 0.0000 0.0000 0.0000  2 S 2.34
Sb 0.5000 0.5000 0.5000  8 Br 3.53, 4 S 3.73
S 0.0000 0.0000 0.5000  2 Ti 2.34
Br 0.0000 0.5000 0.0000  2 Ti 2.64
Br 0.5000 0.0000 0.0000  2 Ti 2.64

Output
Space-group type: No. 123
E_form (uncorrected), eV per atom: -0.281



[2]
Compound: Tb3Mg2Tl6
Source: the Alexandria database
Functional: PBE-GGA
Structure: optimized geometry

Unit cell a=14.5339 b=14.5339 c=14.5339 alpha=161.68 beta=161.68 gamma=26.02
Closest atoms and distances in Å follow each position.
Fractional coordinates of all 11 atoms:
Tb 0.0000 0.0000 0.0000  8 Mg 3.53, 8 Tl 3.87
Tb 0.1951 0.1951 0.0000  9 Tl 3.08-3.35
Tb 0.8049 0.8049 0.0000  9 Tl 3.08-3.35
Mg 0.4531 0.4531 0.0000  1 Mg 2.66, 4 Tl 2.91
Mg 0.5469 0.5469 0.0000  1 Mg 2.66, 4 Tl 2.91
Tl 0.1095 0.6095 0.5000  2 Mg 2.91
Tl 0.3038 0.3038 0.0000  5 Tb 3.08-3.27, 4 Tl 3.37
Tl 0.3905 0.8905 0.5000  2 Mg 2.91
Tl 0.6095 0.1095 0.5000  2 Mg 2.91
Tl 0.6962 0.6962 0.0000  5 Tb 3.08-3.27, 4 Tl 3.37
Tl 0.8905 0.3905 0.5000  2 Mg 2.91

Output
Space-group type: No. 139
ΔH_f (0 K), kcal/mol of atoms: -2.05



[3]
Compound: Hf4Si2C
Source: the Alexandria database
Functional: PBE-GGA
Structure: optimized geometry

Unit cell a=6.8281 b=10.5236 c=3.5235 alpha=90.00 beta=90.00 gamma=90.00
Closest atoms and distances in Å follow each position.
Fractional coordinates of all 14 atoms:
Hf 0.1244 0.1946 0.0000  1 C 2.22
Hf 0.2069 0.9419 0.5000  2 C 2.34
Hf 0.2931 0.4419 0.5000  2 C 2.34
Hf 0.3756 0.6946 0.0000  1 C 2.22
Hf 0.6244 0.3054 0.0000  1 C 2.22
Hf 0.7069 0.5581 0.5000  2 C 2.34
Hf 0.7931 0.0581 0.5000  2 C 2.34
Hf 0.8756 0.8054 0.0000  1 C 2.22
Si 0.0802 0.6681 0.5000  6 Hf 2.67-2.80
Si 0.4198 0.1681 0.5000  6 Hf 2.67-2.80
Si 0.5802 0.8319 0.5000  6 Hf 2.67-2.80
Si 0.9198 0.3319 0.5000  6 Hf 2.67-2.80
C 0.0000 0.0000 0.0000  6 Hf 2.22-2.34
C 0.5000 0.5000 0.0000  6 Hf 2.22-2.34

Output
Space-group type: No. 55
E_form (uncorrected), eV per atom: -0.626



[4]
Compound: Be2CuAu8
Source: the Alexandria database
Functional: PBE-GGA
Structure: optimized geometry

Unit cell a=7.7983 b=7.7983 c=6.2196 alpha=108.34 beta=108.34 gamma=29.63
Closest atoms and distances in Å follow each position.
Fractional coordinates of all 11 atoms:
Be 0.1856 0.1856 0.1976  9 Au 2.42-2.68
Be 0.8144 0.8144 0.8024  9 Au 2.42-2.68
Cu 0.5000 0.5000 0.5000  8 Au 2.62-2.78
Au 0.0372 0.0372 0.2700  1 Be 2.42, 2 Cu 2.62
Au 0.1977 0.1977 0.8192  3 Be 2.42-2.68
Au 0.3240 0.3240 0.5355  3 Be 2.43-2.63
Au 0.4068 0.4068 0.0345  2 Be 2.59, 1 Cu 2.78, 4 Au 2.85-2.87
Au 0.5932 0.5932 0.9655  2 Be 2.59, 1 Cu 2.78, 4 Au 2.85-2.87
Au 0.6760 0.6760 0.4645  3 Be 2.43-2.63
Au 0.8023 0.8023 0.1808  3 Be 2.42-2.68
Au 0.9628 0.9628 0.7300  1 Be 2.42, 2 Cu 2.62

Output
Space-group type: No. 12
ΔE to the lowest computed polymorph, eV/f.u.: 0.00
ΔH_f (0 K), kcal/mol of atoms: -1.20



[5]
Compound: LiSm2C
Source: the Alexandria database
Functional: PBE-GGA
Structure: optimized geometry

Unit cell a=3.6057 b=3.6057 c=9.0223 alpha=90.00 beta=90.00 gamma=120.00
Closest atoms and distances in Å follow each position.
Fractional coordinates of all 4 atoms:
Li 0.0000 0.0000 0.0000  6 Li 3.61, 6 Sm 3.74
Sm 0.3333 0.6667 0.6555  3 C 2.51
Sm 0.6667 0.3333 0.3445  3 C 2.51
C 0.0000 0.0000 0.5000  6 Sm 2.51

Output
Space-group type: No. 164
ΔE to the lowest computed polymorph, eV/f.u.: 0.00
ΔH_f (0 K), kcal/mol of atoms: -1.81



[6]
Compound: Mg4CdPt15
Source: the Alexandria database
Functional: PBE-GGA
Structure: optimized geometry

Unit cell a=3.9653 b=3.9653 c=20.0930 alpha=90.00 beta=90.00 gamma=90.00
Closest atoms and distances in Å follow each position.
Fractional coordinates of all 20 atoms:
Mg 0.0000 0.0000 0.0989  12 Pt 2.80-2.81
Mg 0.0000 0.0000 0.2974  12 Pt 2.80-2.81
Mg 0.0000 0.0000 0.7026  12 Pt 2.80-2.81
Mg 0.0000 0.0000 0.9011  12 Pt 2.80-2.81
Cd 0.0000 0.0000 0.5000  12 Pt 2.80-2.89
Pt 0.0000 0.5000 0.0000  8 Pt 2.80-2.81, 4 Mg 2.81
Pt 0.0000 0.5000 0.1980  8 Pt 2.80-2.81, 4 Mg 2.81
Pt 0.0000 0.5000 0.3955  2 Mg 2.80, 8 Pt 2.80-2.89, 2 Cd 2.89
Pt 0.0000 0.5000 0.6045  2 Mg 2.80, 8 Pt 2.80-2.89, 2 Cd 2.89
Pt 0.0000 0.5000 0.8020  8 Pt 2.80-2.81, 4 Mg 2.81
Pt 0.5000 0.0000 0.0000  8 Pt 2.80-2.81, 4 Mg 2.81
Pt 0.5000 0.0000 0.1980  8 Pt 2.80-2.81, 4 Mg 2.81
Pt 0.5000 0.0000 0.3955  2 Mg 2.80, 8 Pt 2.80-2.89, 2 Cd 2.89
Pt 0.5000 0.0000 0.6045  2 Mg 2.80, 8 Pt 2.80-2.89, 2 Cd 2.89
Pt 0.5000 0.0000 0.8020  8 Pt 2.80-2.81, 4 Mg 2.81
Pt 0.5000 0.5000 0.0992  4 Mg 2.80, 8 Pt 2.81
Pt 0.5000 0.5000 0.2968  4 Mg 2.80, 8 Pt 2.80
Pt 0.5000 0.5000 0.5000  4 Cd 2.80, 8 Pt 2.89
Pt 0.5000 0.5000 0.7032  4 Mg 2.80, 8 Pt 2.80
Pt 0.5000 0.5000 0.9008  4 Mg 2.80, 8 Pt 2.81

Output
Space-group type: No. 123
ΔH_f (0 K), kcal/mol of atoms: -11.88



[7]
Compound: Ac2SnHg3
Source: the Alexandria database
Functional: PBE-GGA
Structure: optimized geometry

Unit cell a=10.1527 b=9.6812 c=6.5080 alpha=74.82 beta=66.97 gamma=38.22
Closest atoms and distances in Å follow each position.
Fractional coordinates of all 12 atoms:
Ac 0.2423 0.7577 0.7577  10 Hg 3.52-3.59, 2 Sn 3.59, 1 Ac 3.94
Ac 0.2500 0.2500 0.2500  8 Hg 3.57-3.58, 4 Sn 3.58
Ac 0.7500 0.7500 0.7500  8 Hg 3.57-3.58, 4 Sn 3.58
Ac 0.7577 0.2423 0.2423  10 Hg 3.52-3.59, 2 Sn 3.59, 1 Ac 3.94
Sn 0.3343 0.3343 0.6657  3 Hg 2.93-2.95
Sn 0.6657 0.6657 0.3343  3 Hg 2.93-2.95
Hg 0.1662 0.1662 0.8338  2 Hg 2.94, 1 Sn 2.95
Hg 0.1682 0.6667 0.3333  2 Hg 2.90-2.94, 1 Sn 2.93
Hg 0.3333 0.8318 0.1682  2 Hg 2.90-2.94, 1 Sn 2.93
Hg 0.6667 0.1682 0.8318  2 Hg 2.90-2.94, 1 Sn 2.93
Hg 0.8318 0.3333 0.6667  2 Hg 2.90-2.94, 1 Sn 2.93
Hg 0.8338 0.8338 0.1662  2 Hg 2.94, 1 Sn 2.95

Output
Space-group type: No. 69
ΔE to the lowest computed polymorph, eV/f.u.: 0.00
ΔH_f (0 K), kcal/mol of atoms: -11.94



[8]
Compound: SrMn2Si
Source: the Alexandria database
Functional: PBE-GGA
Structure: optimized geometry

Unit cell a=3.0346 b=3.0346 c=7.5236 alpha=90.00 beta=90.00 gamma=90.00
Closest atoms and distances in Å follow each position.
Fractional coordinates of all 4 atoms:
Sr 0.0000 0.0000 0.0000  4 Sr 3.03, 4 Si 3.17, 4 Mn 3.39
Mn 0.0000 0.0000 0.5161  4 Mn 2.49, 4 Si 2.52
Mn 0.5000 0.5000 0.3492  4 Mn 2.49, 1 Si 2.57
Si 0.5000 0.5000 0.6907  5 Mn 2.52-2.57

Output
Space-group type: No. 99
E_form (uncorrected), eV per atom: 0.250